Record 1
Material: NaAsPdO5
Method: DFT, PBE
State: relaxed

Calculated values
For the total energy, the calculation gives -5.490 eV/atom. The value obtained for the total magnetic moment is 0.00 Bohr magnetons per cell.

a b c (Å): 5.6387 5.6387 7.2433
angles (deg): 104.68 104.68 106.34
Fractional coordinates of all 16 atoms:
Na1 0.1624 0.8376 0.7500
Na2 0.8376 0.1624 0.2500
As1 0.1886 0.8114 0.2500
As2 0.8114 0.1886 0.7500
Pd1 0.5000 0.5000 0.0000
Pd2 0.5000 0.5000 0.5000
O1 0.1142 0.2524 0.9304
O2 0.1743 0.5888 0.3777
O3 0.2524 0.1142 0.4304
O4 0.4112 0.8257 0.1223
O5 0.4133 0.5867 0.7500
O6 0.5867 0.4133 0.2500
O7 0.5888 0.1743 0.8777
O8 0.7476 0.8858 0.5696
O9 0.8257 0.4112 0.6223
O10 0.8858 0.7476 0.0696

=====

Record 2
Material: NaAs2PdO6
Method: DFT, PBE
State: relaxed

Calculated values
For the total energy, the calculation gives -5.585 eV/atom. The value obtained for the total magnetic moment is 2.02 Bohr magnetons per cell.

a b c (Å): 7.4575 7.4575 5.4560
angles (deg): 102.26 102.26 85.42
Fractional coordinates of all 20 atoms:
Na1 0.1012 0.8988 0.7500
Na2 0.8988 0.1012 0.2500
As1 0.2030 0.3785 0.7655
As2 0.3785 0.2030 0.2655
As3 0.6215 0.7970 0.7345
As4 0.7970 0.6215 0.2345
Pd1 0.2759 0.7241 0.2500
Pd2 0.7241 0.2759 0.7500
O1 0.0450 0.2167 0.6703
O2 0.1399 0.6002 0.8717
O3 0.2167 0.0450 0.1703
O4 0.3182 0.3926 0.5080
O5 0.3926 0.3182 0.0080
O6 0.3998 0.8601 0.6283
O7 0.6002 0.1399 0.3717
O8 0.6074 0.6818 0.9920
O9 0.6818 0.6074 0.4920
O10 0.7833 0.9550 0.8297
O11 0.8601 0.3998 0.1283
O12 0.9550 0.7833 0.3297